# Fe2CoGeO6 PBE with a Hubbard U relaxed
data_Fe2CoGeO6
_chemical_formula_sum 'Fe2 Co1 Ge1 O6'
_cell_length_a 5.0289
_cell_length_b 5.0288
_cell_length_c 5.4299
_cell_angle_alpha 62.41
_cell_angle_beta 62.41
_cell_angle_gamma 60.00
_space_group_name_H-M_alt 'P 1'
_space_group_IT_number 1
_space_group_name_Hall 'P 1'
loop_
_atom_site_label
_atom_site_fract_x
_atom_site_fract_y
_atom_site_fract_z
Fe1 0.5224 0.5224 0.4327
Fe2 0.0110 0.0110 0.9671
Co1 0.8034 0.8033 0.5900
Ge1 0.3205 0.3204 0.0387
O1 0.6013 0.2306 0.2336
O2 0.2306 0.9344 0.2336
O3 0.9344 0.6013 0.2336
O4 0.3930 0.7196 0.7619
O5 0.7195 0.1255 0.7620
O6 0.1255 0.3930 0.7619
# * DOS(E_F): 0.0 states/eV/f.u.
# * symmetry: No. 146
# * calculated total energy: -6.353 eV/atom